TiSbRu after structural relaxation, computed with GGA-PBE.

Formation energy (no corrections) (eV/atom): -0.2164
DFT total energy (eV for the cell shown): -21.94
N(E_F) (states/eV/f.u.): 1.9

a b c (Å): 5.7396 5.7396 5.7396
angles (deg): 148.32 148.32 45.41
Last column: nearest neighbours and their distance in Å.
Atoms (fractional coordinates):
Ti  0.0000  0.0000  0.0000  4 Ru 2.68, 4 Sb 2.99
Sb  0.6899  0.6899  0.0000  4 Ru 2.84, 4 Ti 2.99, 4 Sb 3.13
Ru  0.3581  0.3581  0.0000  4 Ti 2.68, 4 Sb 2.84

***

TmInS3 after structural relaxation, computed with GGA-PBE.

Formation energy (no corrections) (eV/atom): -1.2826
DFT total energy (eV for the cell shown): -52.01
N(E_F) (states/eV/f.u.): 0.0

a b c (Å): 6.7266 4.0215 10.5445
angles (deg): 90.00 101.06 90.00
Last column: nearest neighbours and their distance in Å.
Atoms (fractional coordinates):
Tm  0.0050  0.2500  0.3346  6 S 2.67-2.80
Tm  0.9950  0.7500  0.6654  6 S 2.67-2.80
In  0.4709  0.2500  0.7966  4 S 2.42-2.60
In  0.5291  0.7500  0.2034  4 S 2.42-2.60
S  0.1803  0.7500  0.2314  1 In 2.42, 2 Tm 2.67
S  0.2122  0.2500  0.5787  1 In 2.60, 3 Tm 2.68-2.74
S  0.3147  0.7500  0.8785  2 In 2.50, 1 Tm 2.80
S  0.6853  0.2500  0.1215  2 In 2.50, 1 Tm 2.80
S  0.7878  0.7500  0.4213  1 In 2.60, 3 Tm 2.68-2.74
S  0.8197  0.2500  0.7686  1 In 2.42, 2 Tm 2.67

***

CuBr2Cl after structural relaxation, computed with GGA-PBE.

Formation energy (no corrections) (eV/atom): -0.1048
DFT total energy (eV for the cell shown): -9.71
Energy above the lowest structure with this stoichiometry (meV/atom): 133.4
N(E_F) (states/eV/f.u.): 0.8

a b c (Å): 5.8855 5.8855 5.8855
angles (deg): 144.71 96.14 94.41
Last column: nearest neighbours and their distance in Å.
Atoms (fractional coordinates):
Cu  0.0000  0.0000  0.0000  4 Br 2.39
Br  0.1982  0.6982  0.5000  2 Cu 2.39
Br  0.8018  0.3018  0.5000  2 Cu 2.39
Cl  0.5000  0.5000  0.0000  4 Br 3.00

***

Dy6Co2Ni after structural relaxation, computed with GGA-PBE.

E_form (eV/atom): -0.1939
DFT total energy (eV for the cell shown): -98.70
N(E_F) (states/eV/f.u.): 9.6

a b c (Å): 8.1497 8.1497 8.1497
angles (deg): 110.50 109.91 108.02
Last column: nearest neighbours and their distance in Å.
Atoms (fractional coordinates):
Dy  0.0104  0.8263  0.1842  3 Co 2.66-2.88
Dy  0.2493  0.5643  0.3149  1 Co 2.73, 2 Ni 2.94-2.95
Dy  0.2493  0.9344  0.6851  1 Co 2.73, 2 Ni 2.94-2.95
Dy  0.2681  0.3236  0.5917  3 Co 2.88-2.94, 1 Ni 3.00
Dy  0.2681  0.6764  0.9445  3 Co 2.88-2.94, 1 Ni 3.00
Dy  0.3579  0.1737  0.1842  3 Co 2.66-2.88
Dy  0.6421  0.8263  0.8158  3 Co 2.66-2.88
Dy  0.7319  0.3236  0.0555  3 Co 2.88-2.94, 1 Ni 3.00
Dy  0.7319  0.6764  0.4083  3 Co 2.88-2.94, 1 Ni 3.00
Dy  0.7507  0.0656  0.3149  1 Co 2.73, 2 Ni 2.94-2.95
Dy  0.7507  0.4357  0.6851  1 Co 2.73, 2 Ni 2.94-2.95
Dy  0.9896  0.1737  0.8158  3 Co 2.66-2.88
Co  0.0000  0.1721  0.1721  8 Dy 2.73-2.88, 1 Ni 3.05
Co  0.0000  0.8279  0.8279  8 Dy 2.73-2.88, 1 Ni 3.05
Co  0.3848  0.3848  0.0000  1 Co 2.21
Co  0.6152  0.6152  0.0000  1 Co 2.21
Ni  0.0000  0.5000  0.5000  8 Dy 2.94-3.00, 2 Co 3.05
Ni  0.5000  0.0000  0.5000  4 Dy 2.95

***

La2NbVRe after structural relaxation, computed with GGA-PBE.

E_form (eV/atom): 1.0300
DFT total energy (eV for the cell shown): -36.34
N(E_F) (states/eV/f.u.): 5.6

a b c (Å): 5.5699 5.5699 4.6658
angles (deg): 90.00 90.00 90.00
Last column: nearest neighbours and their distance in Å.
Atoms (fractional coordinates):
La  0.0000  0.5000  0.0000  2 Re 2.78
La  0.5000  0.0000  0.0000  2 Re 2.78
Nb  0.0000  0.0000  0.5000  8 La 3.63, 4 V 3.94
V  0.5000  0.5000  0.5000  2 Re 2.33
Re  0.5000  0.5000  0.0000  2 V 2.33

***

Sm8SiP3Se4 after structural relaxation, computed with GGA-PBE.

Formation energy (no corrections) (eV/atom): -1.6765
DFT total energy (eV for the cell shown): -100.17
N(E_F) (states/eV/f.u.): 5.0

a b c (Å): 8.3728 8.3728 8.3728
angles (deg): 59.30 59.30 59.30
Last column: nearest neighbours and their distance in Å.
Atoms (fractional coordinates):
Sm  0.2433  0.2433  0.2433  3 P 2.87, 3 Se 3.03
Sm  0.2435  0.7446  0.7446  2 P 2.88, 1 Si 2.88, 3 Se 3.01-3.02
Sm  0.2554  0.2554  0.7565  2 P 2.88, 1 Si 2.88, 3 Se 3.01-3.02
Sm  0.2554  0.7565  0.2554  2 P 2.88, 1 Si 2.88, 3 Se 3.01-3.02
Sm  0.7446  0.2435  0.7446  2 P 2.88, 1 Si 2.88, 3 Se 3.01-3.02
Sm  0.7446  0.7447  0.2435  2 P 2.88, 1 Si 2.88, 3 Se 3.01-3.02
Sm  0.7565  0.2553  0.2553  2 P 2.88, 1 Si 2.88, 3 Se 3.01-3.02
Sm  0.7567  0.7567  0.7567  3 P 2.87, 3 Se 3.03
Si  0.5000  0.5000  0.5000  6 Sm 2.88
P  0.0000  0.0000  0.5000  6 Sm 2.87-2.88
P  0.0000  0.5000  0.0000  6 Sm 2.87-2.88
P  0.5000  0.0000  0.0000  6 Sm 2.87-2.88
Se  0.0000  0.0000  0.0000  6 Sm 3.01
Se  0.0000  0.5000  0.5000  6 Sm 3.02-3.03
Se  0.5000  0.0000  0.5000  6 Sm 3.02-3.03
Se  0.5000  0.5000  0.0000  6 Sm 3.02-3.03

***

BeNiTe after structural relaxation, computed with GGA-PBE.

Formation energy (no corrections) (eV/atom): -0.0537
DFT total energy (eV for the cell shown): -25.62
N(E_F) (states/eV/f.u.): 0.4

a b c (Å): 4.0267 4.0267 7.1543
angles (deg): 91.95 91.95 59.18
Last column: nearest neighbours and their distance in Å.
Atoms (fractional coordinates):
Be  0.0000  0.0000  0.0000  6 Ni 2.32-2.51
Be  0.6016  0.6016  0.4295  1 Ni 2.31, 4 Te 2.38-2.47
Ni  0.3354  0.3354  0.9504  3 Be 2.32-2.39, 1 Te 2.56, 2 Ni 2.58
Ni  0.6857  0.6857  0.1209  4 Be 2.31-2.51, 3 Te 2.49-2.53, 2 Ni 2.58
Te  0.2739  0.2739  0.3263  3 Be 2.38-2.45, 2 Ni 2.53
Te  0.6466  0.6466  0.7736  1 Be 2.47, 4 Ni 2.49-2.68

***

Ce8ZnRu5 after structural relaxation, computed with GGA-PBE.

E_form (eV/atom): -0.2957
DFT total energy (eV for the cell shown): -99.26
N(E_F) (states/eV/f.u.): 24.9

a b c (Å): 7.4910 7.4910 7.4910
angles (deg): 108.40 108.40 111.64
Last column: nearest neighbours and their distance in Å.
Atoms (fractional coordinates):
Ce  0.0155  0.4010  0.2609  2 Ru 2.57-2.85
Ce  0.1194  0.2626  0.7461  3 Ru 2.70-2.83
Ce  0.1402  0.7546  0.7391  2 Ru 2.57-2.85
Ce  0.2454  0.9845  0.3855  2 Ru 2.57-2.85
Ce  0.5165  0.3733  0.2539  3 Ru 2.70-2.83
Ce  0.5990  0.8598  0.6145  2 Ru 2.57-2.85
Ce  0.6267  0.8806  0.1432  3 Ru 2.70-2.83
Ce  0.7374  0.4835  0.8568  3 Ru 2.70-2.83
Zn  0.0000  0.0000  0.0000  8 Ce 2.96-3.23
Ru  0.2224  0.6054  0.1058  4 Ce 2.57-2.85
Ru  0.3946  0.5004  0.6171  4 Ce 2.57-2.85
Ru  0.4996  0.1166  0.8942  4 Ce 2.57-2.85
Ru  0.7500  0.2500  0.5000  4 Ce 2.75
Ru  0.8834  0.7776  0.3829  4 Ce 2.57-2.85

***

Which value of N(E_F) does entry 8 give? 24.9 states/eV/f.u.

***

What is the formula in the second record? TmInS3